No. 1
NaTeH3: PBEsol geometry, SCAN.

Results
Space group ... Pm-3m (221)
Crystal system ... cubic
VASP energy ... -9.56 eV per atom

Cell: 3.840 3.840 3.840 Å, 90.00 90.00 90.00°
Fractional coordinates of all 5 atoms:
H 0.000 0.500 0.000
Te 0.500 0.500 0.500
H 0.500 0.000 0.000
Na 0.000 0.000 0.000
H 0.000 0.000 0.500


No. 2
Na2TeH: PBEsol geometry, SCAN.

Results
Space group ... I-42d (122)
Crystal system ... tetragonal
VASP energy ... -12.61 eV per atom

Cell: 6.236 6.236 6.236 Å, 98.64 115.14 115.14°
Fractional coordinates of all 8 atoms:
Na 0.624 0.375 0.499
Na 0.376 0.875 0.751
Na 0.876 0.501 0.125
Na 0.124 0.249 0.625
Te 0.500 0.750 0.250
Te 0.000 0.000 0.000
H 0.500 0.250 0.750
H 0.000 0.500 0.500


No. 3
Na2TeH2: PBEsol geometry, SCAN.

Results
Space group ... P4/mbm (127)
Crystal system ... tetragonal
VASP energy ... -11.01 eV per atom

Cell: 4.085 7.007 7.007 Å, 90.00 90.00 90.00°
Fractional coordinates of all 10 atoms:
H 0.000 0.039 0.461
Te 0.000 0.000 0.000
Na 0.500 0.268 0.232
Te 0.000 0.500 0.500
Na 0.500 0.768 0.268
Na 0.500 0.232 0.732
H 0.000 0.461 0.961
H 0.000 0.961 0.539
Na 0.500 0.732 0.768
H 0.000 0.539 0.039


No. 4
NaTeH2: PBEsol geometry, SCAN.

Results
Space group ... Fm-3m (225)
Crystal system ... cubic
VASP energy ... -11.71 eV per atom

Cell: 4.258 4.258 4.258 Å, 60.00 60.00 60.00°
Fractional coordinates of all 4 atoms:
Te 0.500 0.500 0.500
Na 0.000 0.000 0.000
H 0.250 0.250 0.250
H 0.750 0.750 0.750


No. 5
Na2TlH2: PBEsol geometry, SCAN.

Results
Space group ... I4/mmm (139)
Crystal system ... tetragonal
VASP energy ... -17.50 eV per atom

Cell: 4.115 4.115 5.979 Å, 110.13 110.13 90.00°
Fractional coordinates of all 5 atoms:
Tl 0.000 0.000 0.000
Na 0.674 0.674 0.348
Na 0.326 0.326 0.652
H 0.250 0.750 0.500
H 0.750 0.250 0.500


No. 6
Na3TlH: PBEsol geometry, SCAN.

Results
Space group ... Pm-3m (221)
Crystal system ... cubic
VASP energy ... -17.84 eV per atom

Cell: 4.778 4.778 4.778 Å, 90.00 90.00 90.00°
Fractional coordinates of all 5 atoms:
Na 0.000 0.000 0.500
Na 0.500 0.000 0.000
Na 0.000 0.500 0.000
H 0.000 0.000 0.000
Tl 0.500 0.500 0.500


No. 7
NaYH3: PBEsol geometry, SCAN.

Results
Space group ... Pm-3m (221)
Crystal system ... cubic
VASP energy ... -8.58 eV per atom

Cell: 3.814 3.814 3.814 Å, 90.00 90.00 90.00°
Fractional coordinates of all 5 atoms:
Y 0.500 0.500 0.500
H 0.500 0.000 0.000
H 0.000 0.500 0.000
H 0.000 0.000 0.500
Na 0.000 0.000 0.000


No. 8
NaZrH3: PBEsol geometry, SCAN.

Results
Space group ... Pm-3m (221)
Crystal system ... cubic
VASP energy ... -9.23 eV per atom

Cell: 3.912 3.912 3.912 Å, 90.00 90.00 90.00°
Fractional coordinates of all 5 atoms:
H 0.500 0.000 0.000
Zr 0.000 0.000 0.000
H 0.000 0.000 0.500
Na 0.500 0.500 0.500
H 0.000 0.500 0.000


No. 9
NaZrH2: PBEsol geometry, SCAN.

Results
Space group ... Fm-3m (225)
Crystal system ... cubic
VASP energy ... -10.04 eV per atom

Cell: 3.966 3.966 3.966 Å, 60.00 60.00 60.00°
Last column: magnetic moment on the atom in μB.
Fractional coordinates of all 4 atoms:
Zr 0.500 0.500 0.500  0.39
Na 0.000 0.000 0.000  0.02
H 0.250 0.250 0.250  -0.01
H 0.750 0.750 0.750  -0.01


No. 10
NbH: PBEsol geometry, SCAN.

Results
Space group ... Cmme (67)
Crystal system ... orthorhombic
VASP energy ... -18.48 eV per atom

Cell: 2.979 2.979 4.800 Å, 90.00 90.00 106.53°
Fractional coordinates of all 4 atoms:
H 0.750 0.750 0.000
H 0.250 0.250 0.000
Nb 0.750 0.250 0.268
Nb 0.250 0.750 0.732


No. 11
NbH: PBEsol geometry, SCAN.

Results
Space group ... Cccm (66)
Crystal system ... orthorhombic
VASP energy ... -18.57 eV per atom

Cell: 2.965 2.965 4.897 Å, 90.00 90.00 108.91°
Fractional coordinates of all 4 atoms:
Nb 0.500 0.000 0.000
Nb 0.000 0.500 0.500
H 0.000 0.000 0.250
H 0.000 0.000 0.750


No. 12
NbNiH3: PBEsol geometry, SCAN.

Results
Space group ... Pm-3m (221)
Crystal system ... cubic
VASP energy ... -11.97 eV per atom

Cell: 3.260 3.260 3.260 Å, 90.00 90.00 90.00°
Fractional coordinates of all 5 atoms:
Ni 0.000 0.000 0.000
H 0.500 0.000 0.000
Nb 0.500 0.500 0.500
H 0.000 0.000 0.500
H 0.000 0.500 0.000


| no. | magnetization (μB per atom) |
| --- | --- |
| 1 | 0.00 |
| 2 | 0.00 |
| 3 | 0.00 |
| 4 | 0.00 |
| 5 | 0.00 |
| 6 | 0.00 |
| 7 | 0.00 |
| 8 | 0.00 |
| 9 | 0.15 |
| 10 | 0.00 |
| 11 | 0.00 |
| 12 | 0.00 |